Material: BaTeWO6
Method: DFT, PBE with a Hubbard U
State: optimized geometry

For the mass density, the calculation gives 5.831 Mg/m³. The density of states at the Fermi level is 0.000 states/eV/atom. As for the total magnetization: 0.00 Bohr magnetons per cell. The calculation puts the total energy at -6.64 eV per atom.

The structure belongs to space group P3 (No. 143); the cell edges are 5.6668, 5.6668 and 5.5754 Å and the angles 90.00°, 90.00° and 120.00°. Symmetry generates all atoms from Ba at (0.0000, 0.0000, 0.0000), Te at (0.6667, 0.3333, 0.5694), W at (0.3333, 0.6667, 0.5073), O at (0.0009, 0.4383, 0.7538) and O at (0.0780, 0.7200, 0.3509).